[1]
{"formula": "K2AgSe", "functional": "meta-GGA SCAN", "state": "single point on PBEsol structure", "cell": [[5.0763, 0.0000, 0.0000], [-2.5381, 5.0039, -0.1063], [0.0000, 2.6667, 4.3194]], "species": ["K", "Ag", "Se", "K"], "frac_coords": [[0.2500, 0.5000, 0.2500], [0.5000, 0.0000, 0.5000], [0.0000, 0.0000, 0.0000], [0.7500, 0.5000, 0.7500]], "raw_formation_energy_ev_per_atom": -0.477, "n_ef_per_ev_atom": 0.412, "m_tot_mub_per_atom": 0.000, "mass_density_g_cm3": 3.96}

=====

[2]
{"formula": "K3AgSn3Se8", "functional": "meta-GGA SCAN", "state": "single point on PBEsol structure", "cell": [[-4.3471, 2.5370, 6.2768], [-6.5952, -3.2717, -3.2453], [2.5310, -11.4188, 6.3681]], "species": ["Se", "Ag", "Se", "Sn", "Se", "K", "K", "Se", "K", "Ag", "Se", "K", "Sn", "Sn", "Se", "Sn", "Sn", "Se", "Se", "Se", "Se", "Se", "Se", "Se", "Se", "Sn", "K", "Se", "Se", "K"], "frac_coords": [[0.6690, 0.8310, 0.3732], [0.5000, 0.0000, 0.0000], [0.1834, 0.3166, 0.1341], [0.5000, 0.0000, 0.7619], [0.3310, 0.1690, 0.3732], [0.5000, 0.5000, 0.0000], [0.5000, 0.5000, 0.2712], [0.3310, 0.8310, 0.6268], [0.0000, 0.0000, 0.2712], [0.0000, 0.5000, 0.0000], [0.8310, 0.6690, 0.6268], [0.0000, 0.0000, 0.0000], [0.5000, 0.0000, 0.2381], [0.0000, 0.5000, 0.2381], [0.8166, 0.3166, 0.8659], [0.0000, 0.5000, 0.5000], [0.0000, 0.5000, 0.7619], [0.6690, 0.1690, 0.6268], [0.1834, 0.6834, 0.8659], [0.8166, 0.6834, 0.1341], [0.3166, 0.1834, 0.8659], [0.1690, 0.3310, 0.6268], [0.3166, 0.8166, 0.1341], [0.6834, 0.1834, 0.1341], [0.8310, 0.3310, 0.3732], [0.5000, 0.0000, 0.5000], [0.5000, 0.5000, 0.7288], [0.6834, 0.8166, 0.8659], [0.1690, 0.6690, 0.3732], [0.0000, 0.0000, 0.7288]], "raw_formation_energy_ev_per_atom": -0.745, "m_tot_mub_per_atom": 0.000, "mass_density_g_cm3": 4.67}

=====

[3]
{"formula": "K3Ta2Ag3Se8", "functional": "meta-GGA SCAN", "state": "single point on PBEsol structure", "cell": [[-3.5273, 2.0259, 4.4194], [4.6538, -5.7901, 10.4503], [8.6754, 7.7035, 7.4744]], "species": ["Se", "K", "K", "K", "Se", "Ag", "Ta", "Ag", "Ag", "Se", "Ag", "Se", "K", "K", "Se", "Se", "Se", "Se", "Se", "Se", "Se", "K", "Se", "Ta", "Ta", "Ag", "Ta", "Ag", "Se", "Se", "Se", "Se"], "frac_coords": [[0.0859, 0.8586, 0.8237], [0.3780, 0.2862, 0.1055], [0.6220, 0.7138, 0.8945], [0.2303, 0.7862, 0.6055], [0.6962, 0.9641, 0.6015], [0.0697, 0.4721, 0.7850], [0.5698, 0.4767, 0.7795], [0.9303, 0.5279, 0.2150], [0.7028, 0.2500, 0.7500], [0.9831, 0.8080, 0.3907], [0.6732, 0.9721, 0.2850], [0.9141, 0.1414, 0.1763], [0.7697, 0.2138, 0.3945], [0.0000, 0.5000, 0.5000], [0.5142, 0.0621, 0.8531], [0.7381, 0.4641, 0.1015], [0.3038, 0.0359, 0.3985], [0.4858, 0.9379, 0.1469], [0.0169, 0.1920, 0.6093], [0.5705, 0.5621, 0.3531], [0.8181, 0.3080, 0.8907], [0.0000, 0.0000, 0.0000], [0.2317, 0.3586, 0.3237], [0.8260, 0.0233, 0.7205], [0.4302, 0.5233, 0.2205], [0.3268, 0.0279, 0.7150], [0.1740, 0.9767, 0.2795], [0.2972, 0.7500, 0.2500], [0.1819, 0.6920, 0.1093], [0.7683, 0.6414, 0.6763], [0.2619, 0.5359, 0.8985], [0.4295, 0.4379, 0.6469]], "raw_formation_energy_ev_per_atom": -0.903, "n_ef_per_ev_atom": 0.000, "m_tot_mub_per_atom": 0.000, "mass_density_g_cm3": 5.12}

=====

[4]
{"formula": "K2TcAgSe", "functional": "meta-GGA SCAN", "state": "single point on PBEsol structure", "cell": [[4.7483, 0.0000, 0.0000], [0.0000, 6.2606, 0.0000], [0.0000, 0.0000, 6.2606]], "species": ["K", "Ag", "Se", "K", "Tc"], "frac_coords": [[0.0000, 0.5000, 0.0000], [0.0000, 0.0000, 0.0000], [0.5000, 0.0000, 0.0000], [0.0000, 0.0000, 0.5000], [0.5000, 0.5000, 0.5000]], "raw_formation_energy_ev_per_atom": 0.752, "n_ef_per_ev_atom": 1.004, "m_tot_mub_per_atom": 0.845, "mass_density_g_cm3": 3.24}

=====

[5]
{"formula": "KSiAg3", "functional": "meta-GGA SCAN", "state": "single point on PBEsol structure", "cell": [[4.8768, 0.0000, 0.0000], [0.0000, 4.8768, 0.0000], [0.0000, 0.0000, 4.8768]], "species": ["Si", "Ag", "K", "Ag", "Ag"], "frac_coords": [[0.0000, 0.0000, 0.0000], [0.0000, 0.5000, 0.0000], [0.5000, 0.5000, 0.5000], [0.5000, 0.0000, 0.0000], [0.0000, 0.0000, 0.5000]], "raw_formation_energy_ev_per_atom": 0.049, "n_ef_per_ev_atom": 0.096, "m_tot_mub_per_atom": 0.000, "mass_density_g_cm3": 5.59}

=====

[6]
{"formula": "KSiAg2", "functional": "meta-GGA SCAN", "state": "single point on PBEsol structure", "cell": [[-4.0646, -0.4547, -1.7502], [1.5304, -3.0390, 2.8893], [-1.9892, 5.2686, 3.2508]], "species": ["Si", "Ag", "K", "Ag"], "frac_coords": [[0.3195, 0.6391, 0.9621], [0.9829, 0.9659, 0.9523], [0.5099, 0.0198, 0.5180], [0.6876, 0.3753, 0.0676]], "raw_formation_energy_ev_per_atom": 0.084, "n_ef_per_ev_atom": 0.518, "m_tot_mub_per_atom": 0.000, "mass_density_g_cm3": 4.54}